ZrNbV2O6 | GGA+U | relaxed

a b c (Å): 5.3279 5.3298 5.7860
angles (deg): 62.83 62.81 60.18
Closest atoms and distances in Å follow each position.
Fractional positions:
1 Zr 0.0000 0.0000 0.0000  6 O 2.07-2.25
2 Nb 0.4990 0.4964 0.5083  6 O 2.02-2.17
3 V 0.3010 0.3007 0.0988  6 O 2.16-2.18
4 V 0.7996 0.8014 0.5977  6 O 2.15-2.19
5 O 0.1030 0.7069 0.8012  1 Zr 2.07, 2 V 2.15-2.18, 1 Nb 2.17
6 O 0.2158 0.5976 0.3077  1 Nb 2.03, 2 V 2.17-2.19, 1 Zr 2.24
7 O 0.3885 0.1021 0.8011  1 Zr 2.07, 2 V 2.15-2.18, 1 Nb 2.17
8 O 0.5961 0.8809 0.3052  1 Nb 2.04, 2 V 2.16-2.19, 1 Zr 2.24
9 O 0.7071 0.3898 0.8033  1 Zr 2.07, 2 V 2.15-2.17, 1 Nb 2.16
10 O 0.8810 0.2171 0.3089  1 Nb 2.02, 2 V 2.17-2.19, 1 Zr 2.25

Summary:
As for the space group: No. 1. The uncorrected energy comes out at -86.8 eV per cell. The density of states at the Fermi level is 0.451 states/eV/atom. The volume comes out at 12.1 A^3/atom.



NbWO3 | GGA+U | relaxed

a b c (Å): 4.0169 4.0169 4.0169
angles (deg): 90.00 90.00 90.00
Closest atoms and distances in Å follow each position.
Fractional positions:
1 Nb 0.0000 0.0000 0.0000  12 O 2.84
2 W 0.5000 0.5000 0.5000  6 O 2.01
3 O 0.0000 0.5000 0.5000  2 W 2.01
4 O 0.5000 0.0000 0.5000  2 W 2.01
5 O 0.5000 0.5000 0.0000  2 W 2.01

Summary:
As for the space group: No. 221. The uncorrected energy comes out at -36.3 eV per cell. The density of states at the Fermi level is 0.915 states/eV/atom. The volume comes out at 13.0 A^3/atom.



NbWO3 | GGA+U | relaxed

a b c (Å): 4.0234 4.0234 4.0234
angles (deg): 90.00 90.00 90.00
Closest atoms and distances in Å follow each position.
Fractional positions:
1 Nb 0.0000 0.0000 0.0000  6 O 2.01
2 W 0.5000 0.5000 0.5000  12 O 2.84
3 O 0.0000 0.0000 0.5000  2 Nb 2.01
4 O 0.0000 0.5000 0.0000  2 Nb 2.01
5 O 0.5000 0.0000 0.0000  2 Nb 2.01

Summary:
As for the space group: No. 221. The uncorrected energy comes out at -37.7 eV per cell. The density of states at the Fermi level is 0.588 states/eV/atom. The volume comes out at 13.0 A^3/atom.